# 1
Compound: AcPmAlTl
Source: Alexandria via LeMat-Bulk
Functional: PBE
Structure: optimized geometry

Cell lengths 5.569, 5.569, 5.569 Å; angles 60.00, 60.00, 60.00 degrees
Element x y z (fractional)
Ac: 0.500 0.500 0.500
Al: 0.250 0.250 0.250
Tl: 0.750 0.750 0.750
Pm: 0.000 0.000 0.000

Calculated values
calculated density = 8.204 g/cm3
energy of formation from the pure elements = -0.282 eV/atom
size of the total moment = 0.000 μB per atom

# 2
Compound: AcPmTmAl
Source: Alexandria via LeMat-Bulk
Functional: PBE
Structure: optimized geometry

Cell lengths 5.531, 5.531, 5.531 Å; angles 60.00, 60.00, 60.00 degrees
Element x y z (fractional)
Ac: 0.000 0.000 0.000
Tm: 0.250 0.250 0.250
Al: 0.500 0.500 0.500
Pm: 0.750 0.750 0.750

Calculated values
calculated density = 7.880 g/cm3
energy of formation from the pure elements = 0.080 eV/atom
size of the total moment = 0.000 μB per atom

# 3
Compound: AcPr2Al4
Source: Alexandria via LeMat-Bulk
Functional: PBE
Structure: optimized geometry

Cell lengths 4.408, 4.623, 10.242 Å; angles 103.04, 102.43, 90.00 degrees
Element x y z (fractional)
Pr: 0.814 0.814 0.629
Pr: 0.186 0.186 0.371
Ac: 0.500 0.000 0.000
Al: 0.642 0.642 0.285
Al: 0.358 0.358 0.715
Al: 0.068 0.568 0.136
Al: 0.932 0.432 0.864

Calculated values
calculated density = 5.165 g/cm3
energy of formation from the pure elements = -0.365 eV/atom
size of the total moment = 0.000 μB per atom